A plane-wave DFT calculation with PBE was carried out for a relaxed structure of TlHgPbAu2.

Cell and atoms, written as POSCAR:
```
TlHgPbAu2
1.0
7.962 -1.878 0.000
7.962 1.878 0.000
-6.798 0.000 8.689
Tl Hg Pb Au
2 2 2 4
direct
0.030 0.030 0.175
0.970 0.970 0.825
0.397 0.397 0.484
0.603 0.603 0.516
0.276 0.276 0.877
0.724 0.724 0.123
0.285 0.285 0.623
0.398 0.398 0.219
0.602 0.602 0.781
0.715 0.715 0.377
```

Values from the calculation:
SG: C2/m (12)
formation energy from the elements: -6 meV/atom
spin magnetization: 0.00 μB per cell
E: -2.592 eV/atom